Record 1
This record from Alexandria via LeMat-Bulk describes a PBEsol-optimized structure of Ta2VB2. The functional is meta-GGA SCAN.

```
10
Lattice="5.9650 0.0000 0.0000 0.0000 5.9650 0.0000 0.0000 0.0000 3.2212" Properties=species:S:1:pos:R:3 pbc="T T T"
Ta 1.0774 1.9051 0.0000
Ta 1.9051 4.8876 0.0000
Ta 4.0599 1.0774 0.0000
Ta 4.8876 4.0599 0.0000
V 0.0000 0.0000 1.6106
V 2.9825 2.9825 1.6106
B 0.6570 3.6395 1.6106
B 2.3255 0.6570 1.6106
B 3.6395 5.3080 1.6106
B 5.3080 2.3255 1.6106
```

Output
- Symmetry: No. 127
- Total moment: 0.00 μB/f.u.



Record 2
This record from Alexandria via LeMat-Bulk describes a PBEsol-optimized structure of TaB3W. The functional is meta-GGA SCAN.

```
5
Lattice="3.9963 0.0000 0.0000 0.0000 3.9963 0.0000 0.0000 0.0000 3.9963" Properties=species:S:1:pos:R:3 pbc="T T T"
Ta 0.0000 0.0000 0.0000
B 0.0000 1.9981 1.9981
B 1.9981 0.0000 1.9981
B 1.9981 1.9981 0.0000
W 1.9981 1.9981 1.9981
```

Output
- Symmetry: No. 221
- Total moment: 0.00 μB/f.u.



Record 3
This record from Alexandria via LeMat-Bulk describes a PBEsol-optimized structure of YTa3B. The functional is meta-GGA SCAN.

```
5
Lattice="4.4815 0.0000 0.0000 0.0000 4.4815 0.0000 0.0000 0.0000 4.4815" Properties=species:S:1:pos:R:3 pbc="T T T"
Y 0.0000 0.0000 0.0000
Ta 0.0000 2.2407 2.2407
Ta 2.2407 0.0000 2.2407
Ta 2.2407 2.2407 0.0000
B 2.2407 2.2407 2.2407
```

Output
- Symmetry: No. 221
- Total moment: 0.00 μB/f.u.



Record 4
This record from Alexandria via LeMat-Bulk describes a PBEsol-optimized structure of TaZnB2. The functional is meta-GGA SCAN.

```
8
Lattice="-2.9235 2.9235 2.6679 2.9235 -2.9235 2.6679 2.9235 2.9235 -2.6679" Properties=species:S:1:pos:R:3 pbc="T T T"
Ta 0.0000 0.0000 0.0000
Ta 0.0000 2.9235 1.3339
Zn 2.9235 0.0000 1.3339
Zn 0.0000 0.0000 2.6679
B 1.4618 -1.3107 2.0009
B 1.6128 1.4618 0.6670
B 1.4618 4.2342 -0.6670
B 1.3107 1.4618 3.3348
```

Output
- Symmetry: No. 122
- Total moment: 0.00 μB/f.u.



no.,DOS(E_F) (states/eV/f.u.),energy of formation from the pure elements (eV per atom)
1,1.515,-0.767
2,3.535,1.300
3,4.615,0.221
4,1.589,0.521